# 1
The following is a DFT calculation (PBE-GGA) of a relaxed structure of CaF.

Geometry as CIF:
```
data_CaF
_chemical_formula_sum 'Ca8 F8'
_space_group_name_H-M_alt 'P 4/m'
_space_group_IT_number 83
_cell_length_a 9.791
_cell_length_b 9.791
_cell_length_c 3.907
_cell_angle_alpha 90.00
_cell_angle_beta 90.00
_cell_angle_gamma 90.00
loop_
_space_group_symop_operation_xyz
'x,y,z'
'-x,-y,-z'
'-y,x,z'
'y,-x,-z'
'-x,-y,z'
'x,y,-z'
'y,-x,z'
'-y,x,-z'
loop_
_atom_site_label
_atom_site_type_symbol
_atom_site_fract_x
_atom_site_fract_y
_atom_site_fract_z
_atom_site_occupancy
Ca1 Ca 0.066 0.297 0.000 1
Ca2 Ca 0.248 0.588 0.500 1
F1 F 0.132 0.539 0.000 1
F2 F 0.202 0.354 0.500 1
```

Results
Formation energy (no corrections) ... -2.72 eV/atom
Final energy ... -74.45 eV per cell
Volume ... 375 Å³/cell

=====

# 2
The following is a DFT calculation (PBE-GGA) of a relaxed structure of Np3CoAg3Se8.

Geometry as CIF:
```
data_Np3CoAg3Se8
_chemical_formula_sum 'Np9 Co3 Ag9 Se24'
_space_group_name_H-M_alt 'R -3 m'
_space_group_IT_number 166
_space_group_name_Hall '-R 3 2"'
_cell_length_a 8.0985
_cell_length_b 8.0985
_cell_length_c 19.6322
_cell_angle_alpha 90.00
_cell_angle_beta 90.00
_cell_angle_gamma 120.00
loop_
_atom_site_label
_atom_site_type_symbol
_atom_site_fract_x
_atom_site_fract_y
_atom_site_fract_z
_atom_site_occupancy
Np1 Np 0.0000 0.5000 0.0000 1
Co1 Co 0.0000 0.0000 0.0000 1
Ag1 Ag 0.0000 0.5000 0.5000 1
Se1 Se 0.0000 0.0000 0.2514 1
Se2 Se 0.0388 0.5194 0.7405 1
```

Results
Formation energy (no corrections) ... -0.58 eV/atom
Final energy ... -273.38 eV per cell
Volume ... 1115 Å³/cell

=====

In μB/f.u., the total magnetization values for the records above are, in order, 0.08; 10.99.